The following is a DFT calculation (GGA-PBE) of a relaxed LiRePd2 crystal.

POSCAR file:
```
LiRePd2
1.0
-1.916 1.916 8.510
1.916 -1.916 8.510
1.916 1.916 -8.510
Li Re Pd
2 2 4
direct
0.000 0.000 0.000
0.750 0.250 0.500
0.250 0.750 0.500
0.500 0.500 0.000
0.120 0.625 0.995
0.375 0.370 0.495
0.630 0.125 0.005
0.875 0.880 0.505
```

D(E_F) ... 0.738 states/eV per atom
Relative energy among the computed polymorphs ... 706 meV per atom
Formation energy ... 0.6183 eV/atom
Calculated density ... 10.79 g/cm3

The following is a DFT calculation (GGA-PBE) of a relaxed Cd2BiBr crystal.

POSCAR file:
```
Cd2BiBr
1.0
2.199 1.269 7.523
-2.199 1.269 7.523
0.000 -2.539 7.523
Cd Bi Br
2 1 1
direct
0.000 0.000 0.000
0.185 0.185 0.185
0.595 0.595 0.595
0.772 0.772 0.772
```

D(E_F) ... 0.432 states/eV per atom
Relative energy among the computed polymorphs ... 107 meV per atom
Calculated density ... 6.77 g/cm3

The following is a DFT calculation (GGA-PBE) of a relaxed RbMg2CdAu crystal.

POSCAR file:
```
RbMg2CdAu
1.0
5.293 0.000 0.000
0.000 5.293 0.000
0.000 0.000 5.447
Rb Mg Cd Au
1 2 1 1
direct
0.000 0.000 0.000
0.000 0.500 0.500
0.500 0.000 0.500
0.500 0.500 0.000
0.500 0.500 0.500
```

D(E_F) ... 0.479 states/eV per atom
Formation energy ... -0.1371 eV/atom
Calculated density ... 4.82 g/cm3

The following is a DFT calculation (GGA-PBE) of a relaxed K3NaMg crystal.

POSCAR file:
```
K3NaMg
1.0
6.983 0.000 0.000
0.000 6.983 0.000
0.000 0.000 6.983
K Na Mg
3 1 1
direct
0.000 0.000 0.500
0.000 0.500 0.000
0.500 0.000 0.000
0.500 0.500 0.500
0.000 0.000 0.000
```

D(E_F) ... 0.975 states/eV per atom
Relative energy among the computed polymorphs ... 0 meV per atom
Formation energy ... 0.2749 eV/atom
Calculated density ... 0.80 g/cm3

The following is a DFT calculation (GGA-PBE) of a relaxed Tl3Cd8Hg3 crystal.

POSCAR file:
```
Tl3Cd8Hg3
1.0
-2.575 5.289 6.878
2.575 -5.289 6.878
2.575 5.289 -6.878
Tl Cd Hg
3 8 3
direct
0.000 0.000 0.000
0.300 0.300 0.000
0.700 0.700 0.000
0.040 0.677 0.363
0.141 0.877 0.264
0.313 0.677 0.637
0.387 0.123 0.264
0.613 0.877 0.736
0.687 0.323 0.363
0.859 0.123 0.736
0.960 0.323 0.637
0.305 0.500 0.805
0.500 0.000 0.500
0.695 0.500 0.195
```

D(E_F) ... 0.199 states/eV per atom
Formation energy ... 0.0314 eV/atom
Calculated density ... 9.37 g/cm3

The following is a DFT calculation (GGA-PBE) of a relaxed LiAs3W crystal.

POSCAR file:
```
LiAs3W
1.0
4.940 0.000 0.000
0.000 4.940 0.000
0.000 0.000 4.940
Li As W
1 3 1
direct
0.000 0.000 0.000
0.000 0.500 0.500
0.500 0.000 0.500
0.500 0.500 0.000
0.500 0.500 0.500
```

D(E_F) ... 0.603 states/eV per atom
Relative energy among the computed polymorphs ... 0 meV per atom
Formation energy ... 0.2747 eV/atom
Calculated density ... 5.72 g/cm3

| no. | raw total energy (eV/atom) | spin magnetization (μB/f.u.) |
| --- | --- | --- |
| 1 | -5.57 | 0.00 |
| 2 | -1.98 | 0.00 |
| 3 | -1.81 | 0.00 |
| 4 | -0.97 | 0.00 |
| 5 | -1.06 | 0.00 |
| 6 | -5.49 | 0.00 |